Record 1
8
Lattice="-2.545 2.545 8.113 2.545 -2.545 8.113 2.545 2.545 -8.113" Properties=species:S:1:pos:R:3 comment="BaGeRh2 PBE relaxed" formation_energy_ev_per_atom=-0.242 n_ef_per_ev_cell=5.5 volume_a3_per_fu=105.1 dft_energy_ev_per_atom=-5.55 pbc="T T T"
Ba 0.000 0.000 0.000
Ba 0.000 2.545 4.056
Ge 2.545 0.000 4.056
Ge 0.000 0.000 8.113
Rh 1.273 -0.314 6.084
Rh 2.231 1.273 2.028
Rh 1.273 2.860 -2.028
Rh 0.314 1.273 10.141

---

Record 2
4
Lattice="4.356 0.000 0.000 -2.178 3.772 0.000 0.000 0.000 9.065" Properties=species:S:1:pos:R:3 comment="Ba2GeRh PBE relaxed" formation_energy_ev_per_atom=-0.370 n_ef_per_ev_cell=3.3 volume_a3_per_fu=148.9 dft_energy_ev_per_atom=-4.32 pbc="T T T"
Ba 0.000 0.000 0.000
Ba 0.000 2.515 4.207
Ge 2.178 1.257 6.633
Rh 0.000 2.515 7.122

---

Record 3
8
Lattice="-2.642 2.642 8.038 2.642 -2.642 8.038 2.642 2.642 -8.038" Properties=species:S:1:pos:R:3 comment="BaGe2Rh PBE relaxed" formation_energy_ev_per_atom=-0.448 n_ef_per_ev_cell=5.2 volume_a3_per_fu=112.2 dft_energy_ev_per_atom=-5.08 pbc="T T T"
Ba 2.642 1.321 2.009
Ba 0.000 1.321 6.028
Ge 0.000 0.000 0.000
Ge 1.321 1.321 -4.019
Ge 1.321 -1.321 4.019
Ge 0.000 2.642 0.000
Rh 2.642 -1.321 6.028
Rh 0.000 3.962 2.009